[1]
Here is a relaxed structure of Hf4F7 from OQMD. Energies are from PBE.

Cell lengths 5.1521, 5.1521, 5.1521 Å; angles 90.00, 90.00, 90.00 degrees
Last column: nearest neighbours and their distance in Å.
Element x y z (fractional)
F  0.0000  0.0000  0.0000  6 F 2.58, 4 Hf 2.62
F  0.5000  0.0000  0.0000  4 Hf 2.39, 6 F 2.58
F  0.0000  0.5000  0.0000  4 Hf 2.39, 6 F 2.58
F  0.5000  0.5000  0.0000  4 Hf 2.13
F  0.0000  0.0000  0.5000  4 Hf 2.39, 6 F 2.58
F  0.5000  0.0000  0.5000  4 Hf 2.13
F  0.0000  0.5000  0.5000  4 Hf 2.13
Hf  0.7059  0.2941  0.2941  3 F 2.13
Hf  0.2941  0.7059  0.2941  3 F 2.13
Hf  0.2941  0.2941  0.7059  3 F 2.13
Hf  0.7059  0.7059  0.7059  3 F 2.13

total energy = -0.5253 Ry/atom

[2]
Here is a relaxed structure of AlRe2W from OQMD. Energies are from PBE.

Cell lengths 4.3944, 4.3944, 4.3944 Å; angles 60.00, 60.00, 60.00 degrees
Last column: nearest neighbours and their distance in Å.
Element x y z (fractional)
Al  0.5000  0.5000  0.5000  4 Re 2.69, 4 W 2.69
Re  0.0000  0.0000  0.0000  4 Re 2.69, 4 W 2.69
Re  0.7500  0.7500  0.7500  4 Al 2.69, 4 Re 2.69
W  0.2500  0.2500  0.2500  4 Al 2.69, 4 Re 2.69

total energy = -0.7579 Ry/atom

[3]
Here is a relaxed structure of TmSiHO4 from OQMD. Energies are from PBE.

Cell lengths 7.6631, 8.8429, 17.3605 Å; angles 90.00, 90.00, 90.00 degrees
Last column: nearest neighbours and their distance in Å.
Element x y z (fractional)
H  0.9324  0.1314  0.0160  1 O 1.09
H  0.5676  0.6314  0.0160  1 O 1.09
H  0.7774  0.3985  0.2177  1 O 1.04
H  0.7226  0.8985  0.2177  1 O 1.04
H  0.2774  0.3985  0.2823  1 O 1.04
H  0.2226  0.8985  0.2823  1 O 1.04
H  0.4324  0.1314  0.4840  1 O 1.09
H  0.0676  0.6314  0.4840  1 O 1.09
H  0.9324  0.3686  0.5160  1 O 1.09
H  0.5676  0.8686  0.5160  1 O 1.09
H  0.7774  0.1015  0.7177  1 O 1.04
H  0.7226  0.6015  0.7177  1 O 1.04
H  0.2774  0.1015  0.7823  1 O 1.04
H  0.2226  0.6015  0.7823  1 O 1.04
H  0.4324  0.3686  0.9840  1 O 1.09
H  0.0676  0.8686  0.9840  1 O 1.09
O  0.7954  0.0988  0.0107  1 H 1.09
O  0.7046  0.5988  0.0107  1 H 1.09
O  0.0916  0.1823  0.0273  1 H 1.31
O  0.4084  0.6823  0.0273  1 H 1.31
O  0.4044  0.0722  0.0734  1 Si 1.63
O  0.0956  0.5722  0.0734  1 Si 1.63
O  0.8217  0.3709  0.0811  1 Si 1.63
O  0.6783  0.8709  0.0811  1 Si 1.63
O  0.3779  0.3758  0.1473  1 Si 1.61
O  0.1221  0.8758  0.1473  1 Si 1.61
O  0.9221  0.1338  0.1698  1 Si 1.62
O  0.5779  0.6338  0.1698  1 Si 1.62
O  0.5732  0.0016  0.2095  1 H 1.47, 1 Si 1.65
O  0.9268  0.5016  0.2095  1 H 1.47, 1 Si 1.65
O  0.6579  0.3446  0.2240  1 H 1.04
O  0.8421  0.8446  0.2240  1 H 1.04
O  0.1579  0.3446  0.2760  1 H 1.04
O  0.3421  0.8446  0.2760  1 H 1.04
O  0.0732  0.0016  0.2905  1 H 1.47, 1 Si 1.65
O  0.4268  0.5016  0.2905  1 H 1.47, 1 Si 1.65
O  0.4221  0.1338  0.3302  1 Si 1.62
O  0.0779  0.6338  0.3302  1 Si 1.62
O  0.8779  0.3758  0.3527  1 Si 1.61
O  0.6221  0.8758  0.3527  1 Si 1.61
O  0.3217  0.3709  0.4189  1 Si 1.63
O  0.1783  0.8709  0.4189  1 Si 1.63
O  0.9044  0.0722  0.4266  1 Si 1.63
O  0.5956  0.5722  0.4266  1 Si 1.63
O  0.5916  0.1823  0.4727  1 H 1.31
O  0.9084  0.6823  0.4727  1 H 1.31
O  0.2954  0.0988  0.4893  1 H 1.09
O  0.2046  0.5988  0.4893  1 H 1.09
O  0.7954  0.4012  0.5107  1 H 1.09
O  0.7046  0.9012  0.5107  1 H 1.09
O  0.0916  0.3177  0.5273  1 H 1.31
O  0.4084  0.8177  0.5273  1 H 1.31
O  0.4044  0.4278  0.5734  1 Si 1.63
O  0.0956  0.9278  0.5734  1 Si 1.63
O  0.8217  0.1291  0.5811  1 Si 1.63
O  0.6783  0.6291  0.5811  1 Si 1.63
O  0.3779  0.1242  0.6473  1 Si 1.61
O  0.1221  0.6242  0.6473  1 Si 1.61
O  0.9221  0.3662  0.6698  1 Si 1.62
O  0.5779  0.8662  0.6698  1 Si 1.62
O  0.5732  0.4984  0.7095  1 H 1.47, 1 Si 1.65
O  0.9268  0.9984  0.7095  1 H 1.47, 1 Si 1.65
O  0.6579  0.1554  0.7240  1 H 1.04
O  0.8421  0.6554  0.7240  1 H 1.04
O  0.1579  0.1554  0.7760  1 H 1.04
O  0.3421  0.6554  0.7760  1 H 1.04
O  0.0732  0.4984  0.7905  1 H 1.47, 1 Si 1.65
O  0.4268  0.9984  0.7905  1 H 1.47, 1 Si 1.65
O  0.4221  0.3662  0.8302  1 Si 1.62
O  0.0779  0.8662  0.8302  1 Si 1.62
O  0.8779  0.1242  0.8527  1 Si 1.61
O  0.6221  0.6242  0.8527  1 Si 1.61
O  0.3217  0.1291  0.9189  1 Si 1.63
O  0.1783  0.6291  0.9189  1 Si 1.63
O  0.9044  0.4278  0.9266  1 Si 1.63
O  0.5956  0.9278  0.9266  1 Si 1.63
O  0.5916  0.3177  0.9727  1 H 1.31
O  0.9084  0.8177  0.9727  1 H 1.31
O  0.2954  0.4012  0.9893  1 H 1.09
O  0.2046  0.9012  0.9893  1 H 1.09
Si  0.2593  0.0784  0.0051  4 O 1.63-1.65
Si  0.2407  0.5784  0.0051  4 O 1.63-1.65
Si  0.5017  0.4761  0.2026  4 O 1.61-1.71
Si  0.9983  0.9761  0.2026  4 O 1.61-1.71
Si  0.0017  0.4761  0.2974  4 O 1.61-1.71
Si  0.4983  0.9761  0.2974  4 O 1.61-1.71
Si  0.7593  0.0784  0.4949  4 O 1.63-1.65
Si  0.7407  0.5784  0.4949  4 O 1.63-1.65
Si  0.2593  0.4216  0.5051  4 O 1.63-1.65
Si  0.2407  0.9216  0.5051  4 O 1.63-1.65
Si  0.5017  0.0239  0.7026  4 O 1.61-1.71
Si  0.9983  0.5239  0.7026  4 O 1.61-1.71
Si  0.0017  0.0239  0.7974  4 O 1.61-1.71
Si  0.4983  0.5239  0.7974  4 O 1.61-1.71
Si  0.7593  0.4216  0.9949  4 O 1.63-1.65
Si  0.7407  0.9216  0.9949  4 O 1.63-1.65
Tm  0.6481  0.1758  0.1193  6 O 2.23-2.35
Tm  0.8519  0.6758  0.1193  6 O 2.23-2.35
Tm  0.0940  0.3374  0.1296  6 O 2.22-2.38
Tm  0.4060  0.8374  0.1296  6 O 2.22-2.38
Tm  0.5939  0.3374  0.3704  6 O 2.22-2.38
Tm  0.9060  0.8374  0.3704  6 O 2.22-2.38
Tm  0.1481  0.1758  0.3807  6 O 2.23-2.35
Tm  0.3519  0.6758  0.3807  6 O 2.23-2.35
Tm  0.6481  0.3242  0.6193  6 O 2.23-2.35
Tm  0.8519  0.8242  0.6193  6 O 2.23-2.35
Tm  0.0940  0.1626  0.6296  6 O 2.22-2.38
Tm  0.4060  0.6626  0.6296  6 O 2.22-2.38
Tm  0.5939  0.1626  0.8704  6 O 2.22-2.38
Tm  0.9060  0.6626  0.8704  6 O 2.22-2.38
Tm  0.1481  0.3242  0.8807  6 O 2.23-2.35
Tm  0.3519  0.8242  0.8807  6 O 2.23-2.35

total energy = -0.5463 Ry/atom

[4]
Here is a relaxed structure of SmYNi4 from OQMD. Energies are from PBE.

Cell lengths 5.3798, 5.3798, 8.1636 Å; angles 90.00, 90.00, 120.00 degrees
Last column: nearest neighbours and their distance in Å.
Element x y z (fractional)
Ni  0.5000  0.0000  0.2799  2 Ni 2.38
Ni  0.0000  0.5000  0.2799  2 Ni 2.38
Ni  0.5000  0.5000  0.2799  2 Ni 2.38
Ni  0.6667  0.3333  0.5000  6 Ni 2.38
Ni  0.3333  0.6667  0.5000  6 Ni 2.38
Ni  0.5000  0.0000  0.7201  2 Ni 2.38
Ni  0.0000  0.5000  0.7201  2 Ni 2.38
Ni  0.5000  0.5000  0.7201  2 Ni 2.38
Sm  0.6667  0.3333  0.0000  6 Ni 2.76
Sm  0.3333  0.6667  0.0000  6 Ni 2.76
Y  0.0000  0.0000  0.0000  6 Sm 3.11
Y  0.0000  0.0000  0.5000  18 Ni 3.11-3.23

energy relative to the elements = 0.049 eV/atom

[5]
Here is a relaxed structure of PmAgPb2 from OQMD. Energies are from PBE.

Cell lengths 4.8280, 4.8280, 4.5557 Å; angles 90.00, 90.00, 90.00 degrees
Last column: nearest neighbours and their distance in Å.
Element x y z (fractional)
Ag  0.0000  0.0000  0.5000  8 Pb 3.32, 4 Pm 3.41
Pb  0.5000  0.0000  0.0000  4 Ag 3.32, 4 Pm 3.32, 4 Pb 3.41
Pb  0.0000  0.5000  0.0000  4 Pm 3.32, 4 Ag 3.32, 4 Pb 3.41
Pm  0.5000  0.5000  0.5000  8 Pb 3.32, 4 Ag 3.41

total energy = -0.3000 Ry/atom

[6]
Here is a relaxed structure of YAgSnS3 from OQMD. Energies are from PBE.

Cell lengths 13.0710, 4.0405, 11.0433 Å; angles 90.00, 90.00, 90.00 degrees
Last column: nearest neighbours and their distance in Å.
Element x y z (fractional)
Ag  0.4737  0.2500  0.0873  4 S 2.53-2.71
Ag  0.9737  0.2500  0.4127  4 S 2.53-2.71
Ag  0.0263  0.7500  0.5873  4 S 2.53-2.71
Ag  0.5263  0.7500  0.9127  4 S 2.53-2.71
S  0.1112  0.2500  0.0592  3 Y 2.75-2.79, 2 Sn 2.97
S  0.6075  0.7500  0.1304  3 Ag 2.63-2.71, 1 Y 2.79, 2 Sn 2.88
S  0.8605  0.2500  0.2271  1 Ag 2.53, 1 Sn 2.64, 2 Y 2.74
S  0.3605  0.2500  0.2729  1 Ag 2.53, 1 Sn 2.64, 2 Y 2.74
S  0.1075  0.7500  0.3696  3 Ag 2.63-2.71, 1 Y 2.79, 2 Sn 2.88
S  0.6112  0.2500  0.4408  3 Y 2.75-2.79, 2 Sn 2.97
S  0.3888  0.7500  0.5592  3 Y 2.75-2.79, 2 Sn 2.97
S  0.8925  0.2500  0.6304  3 Ag 2.63-2.71, 1 Y 2.79, 2 Sn 2.88
S  0.6395  0.7500  0.7271  1 Ag 2.53, 1 Sn 2.64, 2 Y 2.74
S  0.1395  0.7500  0.7729  1 Ag 2.53, 1 Sn 2.64, 2 Y 2.74
S  0.3925  0.2500  0.8696  3 Ag 2.63-2.71, 1 Y 2.79, 2 Sn 2.88
S  0.8888  0.7500  0.9408  3 Y 2.75-2.79, 2 Sn 2.97
Sn  0.7416  0.2500  0.0335  3 S 2.64-2.88
Sn  0.2416  0.2500  0.4665  3 S 2.64-2.88
Sn  0.7584  0.7500  0.5335  3 S 2.64-2.88
Sn  0.2584  0.7500  0.9665  3 S 2.64-2.88
Y  0.9901  0.7500  0.1588  6 S 2.74-2.79
Y  0.4901  0.7500  0.3412  6 S 2.74-2.79
Y  0.5099  0.2500  0.6588  6 S 2.74-2.79
Y  0.0099  0.2500  0.8412  6 S 2.74-2.79

total energy = -0.3878 Ry/atom

[7]
Here is a relaxed structure of HoAl3 from OQMD. Energies are from PBE.

Cell lengths 4.2427, 4.2427, 4.2427 Å; angles 90.00, 90.00, 90.00 degrees
Last column: nearest neighbours and their distance in Å.
Element x y z (fractional)
Al  0.5000  0.5000  0.0000  4 Ho 3.00, 8 Al 3.00
Al  0.5000  0.0000  0.5000  4 Ho 3.00, 8 Al 3.00
Al  0.0000  0.5000  0.5000  8 Al 3.00, 4 Ho 3.00
Ho  0.0000  0.0000  0.0000  12 Al 3.00

total energy = -0.3214 Ry/atom

[8]
Here is a relaxed structure of NaTlRe2 from OQMD. Energies are from PBE.

Cell lengths 4.5801, 4.5801, 4.5801 Å; angles 60.00, 60.00, 60.00 degrees
Last column: nearest neighbours and their distance in Å.
Element x y z (fractional)
Na  0.2500  0.2500  0.2500  4 Re 2.80, 4 Tl 2.80
Re  0.0000  0.0000  0.0000  4 Na 2.80, 4 Re 2.80
Re  0.7500  0.7500  0.7500  4 Tl 2.80, 4 Re 2.80
Tl  0.5000  0.5000  0.5000  4 Na 2.80, 4 Re 2.80

total energy = -0.4564 Ry/atom